(1)
{
  "formula": "HoHfCdIn",
  "functional": "PBE",
  "state": "optimized geometry",
  "e_tot_ev_per_atom": -4.70,
  "density_kg_m3": 10113,
  "lattice": [[0.000, 3.605, 3.605], [3.605, 0.000, 3.605], [3.605, 3.605, 0.000]],
  "species": ["Ho", "Hf", "Cd", "In"],
  "frac_coords": [[0.000, 0.000, 0.000], [0.500, 0.500, 0.500], [0.750, 0.750, 0.750], [0.250, 0.250, 0.250]]
}

---

(2)
{
  "formula": "HoHfMgCd",
  "functional": "PBE",
  "state": "optimized geometry",
  "e_tot_ev_per_atom": -4.23,
  "density_kg_m3": 8473,
  "lattice": [[0.000, 3.610, 3.610], [3.610, 0.000, 3.610], [3.610, 3.610, 0.000]],
  "species": ["Ho", "Hf", "Mg", "Cd"],
  "frac_coords": [[0.000, 0.000, 0.000], [0.500, 0.500, 0.500], [0.250, 0.250, 0.250], [0.750, 0.750, 0.750]]
}

---

(3)
{
  "formula": "HoHfCdPt",
  "functional": "PBE",
  "state": "optimized geometry",
  "e_tot_ev_per_atom": -5.87,
  "density_kg_m3": 12711,
  "lattice": [[0.000, 3.490, 3.490], [3.490, 0.000, 3.490], [3.490, 3.490, 0.000]],
  "species": ["Ho", "Hf", "Cd", "Pt"],
  "frac_coords": [[0.000, 0.000, 0.000], [0.500, 0.500, 0.500], [0.750, 0.750, 0.750], [0.250, 0.250, 0.250]]
}

---

(4)
{
  "formula": "HoHfCdRh",
  "functional": "PBE",
  "state": "optimized geometry",
  "e_tot_ev_per_atom": -6.05,
  "density_kg_m3": 11128,
  "lattice": [[0.000, 3.467, 3.467], [3.467, 0.000, 3.467], [3.467, 3.467, 0.000]],
  "species": ["Ho", "Hf", "Cd", "Rh"],
  "frac_coords": [[0.000, 0.000, 0.000], [0.500, 0.500, 0.500], [0.250, 0.250, 0.250], [0.750, 0.750, 0.750]]
}

---

(5)
{
  "formula": "HfCdI2",
  "functional": "PBE",
  "state": "optimized geometry",
  "de_polymorph_ev_per_atom": 0.0000,
  "density_kg_m3": 5751,
  "lattice": [[-5.119, 5.119, 3.001], [5.119, -5.119, 3.001], [5.119, 5.119, -3.001]],
  "species": ["Hf", "Hf", "Cd", "Cd", "I", "I", "I", "I"],
  "frac_coords": [[0.000, 0.000, 0.000], [0.750, 0.250, 0.500], [0.250, 0.750, 0.500], [0.500, 0.500, 0.000], [0.375, 0.020, 0.145], [0.770, 0.625, 0.645], [0.875, 0.230, 0.855], [0.980, 0.125, 0.355]]
}

---

(6)
{
  "formula": "HfCd3I",
  "functional": "PBE",
  "state": "optimized geometry",
  "de_polymorph_ev_per_atom": 0.0000,
  "density_kg_m3": 5569,
  "lattice": [[5.765, 0.000, 0.000], [0.000, 5.765, 0.000], [0.000, 0.000, 5.765]],
  "species": ["Hf", "Cd", "Cd", "Cd", "I"],
  "frac_coords": [[0.000, 0.000, 0.000], [0.000, 0.000, 0.500], [0.000, 0.500, 0.000], [0.500, 0.000, 0.000], [0.500, 0.500, 0.500]]
}

---

(7)
{
  "formula": "HfCdI2",
  "functional": "PBE",
  "state": "optimized geometry",
  "de_polymorph_ev_per_atom": 0.3075,
  "density_kg_m3": 8681,
  "lattice": [[0.000, 3.735, 3.735], [3.735, 0.000, 3.735], [3.735, 3.735, 0.000]],
  "species": ["Hf", "Cd", "I", "I"],
  "frac_coords": [[0.000, 0.000, 0.000], [0.500, 0.500, 0.500], [0.250, 0.250, 0.250], [0.750, 0.750, 0.750]]
}

---

(8)
{
  "formula": "HfCd3I",
  "functional": "PBE",
  "state": "optimized geometry",
  "de_polymorph_ev_per_atom": 0.6453,
  "density_kg_m3": 5933,
  "lattice": [[5.645, 0.000, 0.000], [0.000, 5.645, 0.000], [0.000, 0.000, 5.645]],
  "species": ["Hf", "Cd", "Cd", "Cd", "I"],
  "frac_coords": [[0.000, 0.000, 0.000], [0.000, 0.500, 0.500], [0.500, 0.000, 0.500], [0.500, 0.500, 0.000], [0.500, 0.500, 0.500]]
}

---

(9)
{
  "formula": "HfCdI3",
  "functional": "PBE",
  "state": "optimized geometry",
  "de_polymorph_ev_per_atom": 0.0000,
  "density_kg_m3": 5957,
  "lattice": [[5.721, 0.000, 0.000], [0.000, 5.721, 0.000], [0.000, 0.000, 5.721]],
  "species": ["Hf", "Cd", "I", "I", "I"],
  "frac_coords": [[0.000, 0.000, 0.000], [0.500, 0.500, 0.500], [0.000, 0.000, 0.500], [0.000, 0.500, 0.000], [0.500, 0.000, 0.000]]
}

---

(10)
{
  "formula": "HfCd2I",
  "functional": "PBE",
  "state": "optimized geometry",
  "e_tot_ev_per_atom": -2.66,
  "density_kg_m3": 8203,
  "lattice": [[0.000, 3.772, 3.772], [3.772, 0.000, 3.772], [3.772, 3.772, 0.000]],
  "species": ["Hf", "Cd", "Cd", "I"],
  "frac_coords": [[0.000, 0.000, 0.000], [0.250, 0.250, 0.250], [0.750, 0.750, 0.750], [0.500, 0.500, 0.500]]
}

---

(11)
{
  "formula": "Hf2Cd2I",
  "functional": "PBE",
  "state": "optimized geometry",
  "e_tot_ev_per_atom": -4.49,
  "density_kg_m3": 9654,
  "lattice": [[7.427, 0.000, 0.000], [0.000, 7.427, 0.000], [0.000, 0.000, 4.420]],
  "species": ["Hf", "Hf", "Hf", "Hf", "Cd", "Cd", "Cd", "Cd", "I", "I"],
  "frac_coords": [[0.144, 0.356, 0.000], [0.356, 0.856, 0.000], [0.644, 0.144, 0.000], [0.856, 0.644, 0.000], [0.149, 0.649, 0.500], [0.351, 0.149, 0.500], [0.649, 0.851, 0.500], [0.851, 0.351, 0.500], [0.000, 0.000, 0.000], [0.500, 0.500, 0.000]]
}

---

(12)
{
  "formula": "KHfCd2I",
  "functional": "PBE",
  "state": "optimized geometry",
  "e_tot_ev_per_atom": -2.75,
  "density_kg_m3": 5041,
  "lattice": [[5.756, 0.000, 0.000], [0.000, 5.756, 0.000], [0.000, 0.000, 5.660]],
  "species": ["K", "Hf", "Cd", "Cd", "I"],
  "frac_coords": [[0.000, 0.000, 0.000], [0.500, 0.500, 0.500], [0.000, 0.500, 0.500], [0.500, 0.000, 0.500], [0.500, 0.500, 0.000]]
}

---

(13)
{
  "formula": "HfCdMo2I",
  "functional": "PBE",
  "state": "optimized geometry",
  "e_tot_ev_per_atom": -4.72,
  "density_kg_m3": 7855,
  "lattice": [[5.008, 0.000, 0.000], [0.000, 5.008, 0.000], [0.000, 0.000, 5.140]],
  "species": ["Hf", "Cd", "Mo", "Mo", "I"],
  "frac_coords": [[0.000, 0.000, 0.000], [0.000, 0.000, 0.500], [0.000, 0.500, 0.500], [0.500, 0.000, 0.500], [0.500, 0.500, 0.000]]
}

---

(14)
{
  "formula": "HfCdIN2",
  "functional": "PBE",
  "state": "optimized geometry",
  "de_polymorph_ev_per_atom": 0.0000,
  "density_kg_m3": 6910,
  "lattice": [[4.201, 0.000, 0.000], [0.000, 4.201, 0.000], [0.000, 0.000, 6.072]],
  "species": ["Hf", "Cd", "I", "N", "N"],
  "frac_coords": [[0.000, 0.000, 0.000], [0.500, 0.500, 0.500], [0.000, 0.000, 0.500], [0.000, 0.500, 0.000], [0.500, 0.000, 0.000]]
}

---

(15)
{
  "formula": "HfCdIN2",
  "functional": "PBE",
  "state": "optimized geometry",
  "de_polymorph_ev_per_atom": 1.5411,
  "density_kg_m3": 7459,
  "lattice": [[4.253, 0.000, 0.000], [0.000, 4.253, 0.000], [0.000, 0.000, 5.486]],
  "species": ["Hf", "Cd", "I", "N", "N"],
  "frac_coords": [[0.000, 0.000, 0.000], [0.500, 0.500, 0.500], [0.500, 0.500, 0.000], [0.000, 0.500, 0.500], [0.500, 0.000, 0.500]]
}

---

(16)
{
  "formula": "HfCdI2N",
  "functional": "PBE",
  "state": "optimized geometry",
  "de_polymorph_ev_per_atom": 1.2864,
  "density_kg_m3": 6464,
  "lattice": [[5.967, 0.000, 0.000], [0.000, 5.967, 0.000], [0.000, 0.000, 4.031]],
  "species": ["Hf", "Cd", "I", "I", "N"],
  "frac_coords": [[0.000, 0.000, 0.000], [0.500, 0.500, 0.500], [0.000, 0.500, 0.500], [0.500, 0.000, 0.500], [0.500, 0.500, 0.000]]
}

---

(17)
{
  "formula": "HfCdI2N",
  "functional": "PBE",
  "state": "optimized geometry",
  "de_polymorph_ev_per_atom": 0.0000,
  "density_kg_m3": 6488,
  "lattice": [[5.977, 0.000, 0.000], [0.000, 5.977, 0.000], [0.000, 0.000, 4.003]],
  "species": ["Hf", "Cd", "I", "I", "N"],
  "frac_coords": [[0.000, 0.000, 0.000], [0.500, 0.500, 0.500], [0.000, 0.500, 0.000], [0.500, 0.000, 0.000], [0.000, 0.000, 0.500]]
}

---

(18)
{
  "formula": "HfCdI2O",
  "functional": "PBE",
  "state": "optimized geometry",
  "de_polymorph_ev_per_atom": 0.0000,
  "density_kg_m3": 6648,
  "lattice": [[5.924, 0.000, 0.000], [0.000, 5.924, 0.000], [0.000, 0.000, 3.991]],
  "species": ["Hf", "Cd", "I", "I", "O"],
  "frac_coords": [[0.000, 0.000, 0.000], [0.500, 0.500, 0.500], [0.000, 0.500, 0.000], [0.500, 0.000, 0.000], [0.000, 0.000, 0.500]]
}

---

(19)
{
  "formula": "HfCdIO2",
  "functional": "PBE",
  "state": "optimized geometry",
  "de_polymorph_ev_per_atom": 1.8310,
  "density_kg_m3": 7462,
  "lattice": [[4.267, 0.000, 0.000], [0.000, 4.267, 0.000], [0.000, 0.000, 5.496]],
  "species": ["Hf", "Cd", "I", "O", "O"],
  "frac_coords": [[0.000, 0.000, 0.000], [0.500, 0.500, 0.500], [0.500, 0.500, 0.000], [0.000, 0.500, 0.500], [0.500, 0.000, 0.500]]
}

---

(20)
{
  "formula": "HfCdIO2",
  "functional": "PBE",
  "state": "optimized geometry",
  "de_polymorph_ev_per_atom": 0.0000,
  "density_kg_m3": 7174,
  "lattice": [[4.140, 0.000, 0.000], [0.000, 4.140, 0.000], [0.000, 0.000, 6.075]],
  "species": ["Hf", "Cd", "I", "O", "O"],
  "frac_coords": [[0.000, 0.000, 0.000], [0.500, 0.500, 0.500], [0.000, 0.000, 0.500], [0.000, 0.500, 0.000], [0.500, 0.000, 0.000]]
}

---

(21)
{
  "formula": "HfCdI2O",
  "functional": "PBE",
  "state": "optimized geometry",
  "de_polymorph_ev_per_atom": 1.3410,
  "density_kg_m3": 6787,
  "lattice": [[5.909, 0.000, 0.000], [0.000, 5.909, 0.000], [0.000, 0.000, 3.929]],
  "species": ["Hf", "Cd", "I", "I", "O"],
  "frac_coords": [[0.000, 0.000, 0.000], [0.500, 0.500, 0.500], [0.000, 0.500, 0.500], [0.500, 0.000, 0.500], [0.500, 0.500, 0.000]]
}

---

(22)
{
  "formula": "HfCdSb2I",
  "functional": "PBE",
  "state": "optimized geometry",
  "de_polymorph_ev_per_atom": 0.0000,
  "density_kg_m3": 6197,
  "lattice": [[5.582, 0.000, 0.000], [0.000, 5.582, 0.000], [0.000, 0.000, 5.687]],
  "species": ["Hf", "Cd", "Sb", "Sb", "I"],
  "frac_coords": [[0.000, 0.000, 0.000], [0.500, 0.500, 0.500], [0.000, 0.500, 0.000], [0.500, 0.000, 0.000], [0.000, 0.000, 0.500]]
}

---

(23)
{
  "formula": "HfCd2SnI",
  "functional": "PBE",
  "state": "optimized geometry",
  "e_tot_ev_per_atom": -2.85,
  "density_kg_m3": 6152,
  "lattice": [[5.685, 0.000, 0.000], [0.000, 5.685, 0.000], [0.000, 0.000, 5.420]],
  "species": ["Hf", "Cd", "Cd", "Sn", "I"],
  "frac_coords": [[0.000, 0.000, 0.000], [0.000, 0.500, 0.000], [0.500, 0.000, 0.000], [0.500, 0.500, 0.500], [0.000, 0.000, 0.500]]
}

---

(24)
{
  "formula": "Sr2HfCdI",
  "functional": "PBE",
  "state": "optimized geometry",
  "e_tot_ev_per_atom": -2.39,
  "density_kg_m3": 4244,
  "lattice": [[6.185, 0.000, 0.000], [0.000, 6.185, 0.000], [0.000, 0.000, 6.066]],
  "species": ["Sr", "Sr", "Hf", "Cd", "I"],
  "frac_coords": [[0.000, 0.500, 0.000], [0.500, 0.000, 0.000], [0.000, 0.000, 0.500], [0.500, 0.500, 0.000], [0.500, 0.500, 0.500]]
}

---

(25)
{
  "formula": "HfCd2In2",
  "functional": "PBE",
  "state": "optimized geometry",
  "de_polymorph_ev_per_atom": 0.0089,
  "density_kg_m3": 9033,
  "lattice": [[8.272, 0.000, 0.000], [0.000, 8.272, 0.000], [0.000, 0.000, 3.401]],
  "species": ["Hf", "Hf", "Cd", "Cd", "Cd", "Cd", "In", "In", "In", "In"],
  "frac_coords": [[0.000, 0.000, 0.000], [0.500, 0.500, 0.000], [0.161, 0.339, 0.500], [0.339, 0.839, 0.500], [0.661, 0.161, 0.500], [0.839, 0.661, 0.500], [0.140, 0.640, 0.000], [0.360, 0.140, 0.000], [0.640, 0.860, 0.000], [0.860, 0.360, 0.000]]
}

---

(26)
{
  "formula": "Hf2CdIn",
  "functional": "PBE",
  "state": "optimized geometry",
  "de_polymorph_ev_per_atom": 0.0907,
  "density_kg_m3": 10924,
  "lattice": [[1.573, 0.908, 10.362], [-1.573, 0.908, 10.362], [0.000, -1.816, 10.362]],
  "species": ["Hf", "Hf", "Cd", "In"],
  "frac_coords": [[0.250, 0.250, 0.250], [0.750, 0.750, 0.750], [0.000, 0.000, 0.000], [0.500, 0.500, 0.500]]
}

---

(27)
{
  "formula": "Hf2CdIn3",
  "functional": "PBE",
  "state": "optimized geometry",
  "e_tot_ev_per_atom": -4.88,
  "density_kg_m3": 10005,
  "lattice": [[7.751, -3.069, 0.000], [7.751, 3.069, 0.000], [-0.414, 0.000, 5.679]],
  "species": ["Hf", "Hf", "Hf", "Hf", "Cd", "Cd", "In", "In", "In", "In", "In", "In"],
  "frac_coords": [[0.047, 0.291, 0.093], [0.291, 0.047, 0.593], [0.709, 0.953, 0.407], [0.953, 0.709, 0.907], [0.387, 0.613, 0.750], [0.613, 0.387, 0.250], [0.101, 0.899, 0.250], [0.205, 0.460, 0.414], [0.460, 0.205, 0.914], [0.540, 0.795, 0.086], [0.795, 0.540, 0.586], [0.899, 0.101, 0.750]]
}

---

(28)
{
  "formula": "HfCdIn",
  "functional": "PBE",
  "state": "optimized geometry",
  "e_tot_ev_per_atom": -4.55,
  "density_kg_m3": 10166,
  "lattice": [[-1.559, 1.559, 6.813], [1.559, -1.559, 6.813], [1.559, 1.559, -6.813]],
  "species": ["Hf", "Cd", "In"],
  "frac_coords": [[0.000, 0.000, 0.000], [0.337, 0.337, 0.000], [0.662, 0.662, 0.000]]
}